Entry 1:
The following is a DFT calculation (GGA-PBE) of a relaxed K2MgGa3Au12 crystal.

Formation enthalpy at 0 K = -0.02 eV per atom
Total magnetic moment = 0.000 Bohr magnetons per cell

Cell lengths 8.348, 8.348, 8.348 Å; angles 63.65, 63.65, 63.65 degrees
Sites, in units of the cell vectors:
Au (0.353, 0.887, 0.353)
Au (0.125, 0.125, 0.633)
Au (0.367, 0.875, 0.875)
Au (0.647, 0.647, 0.113)
Au (0.125, 0.633, 0.125)
Au (0.875, 0.875, 0.367)
Au (0.875, 0.367, 0.875)
Au (0.113, 0.647, 0.647)
Au (0.633, 0.125, 0.125)
Au (0.887, 0.353, 0.353)
Au (0.647, 0.113, 0.647)
Au (0.353, 0.353, 0.887)
K (0.387, 0.387, 0.387)
K (0.613, 0.613, 0.613)
Ga (0.000, 0.500, 0.000)
Ga (0.500, 0.000, 0.000)
Ga (0.000, 0.000, 0.500)
Mg (0.000, 0.000, 0.000)


Entry 2:
The following is a DFT calculation (GGA-PBE) of a relaxed KRbRe3 crystal.

Formation enthalpy at 0 K = 4.07 eV per atom
E above lowest polymorph = 0.000 eV per atom
Total magnetic moment = 4.976 Bohr magnetons per cell

Cell lengths 4.949, 4.949, 4.949 Å; angles 90.00, 90.00, 90.00 degrees
Sites, in units of the cell vectors:
Re (0.500, 0.000, 0.000)
Re (0.000, 0.000, 0.500)
Re (0.000, 0.500, 0.000)
Rb (0.500, 0.500, 0.500)
K (0.000, 0.000, 0.000)


Entry 3:
The following is a DFT calculation (GGA-PBE) of a relaxed CsHfGa2Ir crystal.

Formation enthalpy at 0 K = 2.53 eV per atom
Total magnetic moment = 0.679 Bohr magnetons per cell

Cell lengths 5.287, 5.287, 5.514 Å; angles 90.00, 90.00, 90.00 degrees
Sites, in units of the cell vectors:
Ir (0.500, 0.500, 0.500)
Ga (0.000, 0.500, 0.000)
Ga (0.500, 0.000, 0.000)
Hf (0.000, 0.000, 0.500)
Cs (0.000, 0.000, 0.000)


Entry 4:
The following is a DFT calculation (GGA-PBE) of a relaxed AcTbRu crystal.

Formation enthalpy at 0 K = -0.14 eV per atom
E above lowest polymorph = 0.080 eV per atom
Total magnetic moment = 0.000 Bohr magnetons per cell

Cell lengths 6.301, 4.201, 4.201 Å; angles 120.00, 90.00, 90.00 degrees
Sites, in units of the cell vectors:
Ru (0.986, 0.000, 0.000)
Tb (0.773, 0.667, 0.333)
Ac (0.241, 0.333, 0.667)


Among the records above, which one has the lowest formation enthalpy at 0 K?
AcTbRu


What is the formula in the third record?
CsHfGa2Ir


Which value of formation enthalpy at 0 K does entry 2 give?
4.07 eV per atom


The highest formation enthalpy at 0 K belongs to which entry?
KRbRe3